Entry 1:
{"formula": "CoNi8Pt2", "functional": "PBE-GGA", "state": "optimized geometry", "mass_density_g_cm3": 9.98, "formation_energy_ev_per_atom": 0.368, "lattice_angstrom": [[4.5819, -4.0197, 0.0000], [4.5819, 4.0197, 0.0000], [-1.1152, 0.0000, 4.1515]], "species": ["Co", "Ni", "Ni", "Ni", "Ni", "Ni", "Ni", "Ni", "Ni", "Pt", "Pt"], "fractional_positions": [[0.0000, 0.0000, 0.0000], [0.1785, 0.6703, 0.2023], [0.2833, 0.2833, 0.1326], [0.3297, 0.8215, 0.7977], [0.4302, 0.4302, 0.7114], [0.5698, 0.5698, 0.2886], [0.6703, 0.1785, 0.2023], [0.7167, 0.7167, 0.8674], [0.8215, 0.3297, 0.7977], [0.1526, 0.1526, 0.5576], [0.8474, 0.8474, 0.4424]]}

Entry 2:
{"formula": "ZrOsBr2", "functional": "PBE-GGA", "state": "optimized geometry", "mass_density_g_cm3": 9.24, "e_form_raw_kj_per_mol_fu": 189.2, "lattice_angstrom": [[3.1324, 0.0000, 0.0000], [0.0000, 4.5496, 0.0000], [0.0000, 0.0000, 5.5622]], "species": ["Zr", "Os", "Br", "Br"], "fractional_positions": [[0.0000, 0.0000, 0.0000], [0.5000, 0.0000, 0.5000], [0.0000, 0.5000, 0.5000], [0.5000, 0.5000, 0.0000]]}

Entry 3:
{"formula": "LaPRu2", "functional": "PBE-GGA", "state": "optimized geometry", "mass_density_g_cm3": 8.38, "formation_energy_ev_per_atom": -0.764, "lattice_angstrom": [[2.0863, -8.6302, 0.0000], [2.0863, 8.6302, 0.0000], [0.0000, 0.0000, 4.0925]], "species": ["La", "La", "P", "P", "Ru", "Ru", "Ru", "Ru"], "fractional_positions": [[0.0998, 0.9002, 0.7500], [0.9002, 0.0998, 0.2500], [0.3191, 0.6809, 0.7500], [0.6809, 0.3191, 0.2500], [0.2495, 0.7505, 0.2500], [0.4588, 0.5412, 0.7500], [0.5412, 0.4588, 0.2500], [0.7505, 0.2495, 0.7500]]}

Entry 4:
{"formula": "La2InCu", "functional": "PBE-GGA", "state": "optimized geometry", "mass_density_g_cm3": 6.57, "formation_energy_ev_per_atom": -0.065, "lattice_angstrom": [[-4.2603, 4.2603, 3.1737], [4.2603, -4.2603, 3.1737], [4.2603, 4.2603, -3.1737]], "species": ["La", "La", "La", "La", "In", "In", "Cu", "Cu"], "fractional_positions": [[0.0717, 0.1250, 0.4467], [0.3750, 0.9283, 0.0533], [0.6783, 0.6250, 0.5533], [0.8750, 0.3217, 0.9467], [0.2500, 0.7500, 0.5000], [0.5000, 0.5000, 0.0000], [0.0000, 0.0000, 0.0000], [0.7500, 0.2500, 0.5000]]}

Entry 5:
{"formula": "MnCrNiAu", "functional": "PBE-GGA", "state": "optimized geometry", "mass_density_g_cm3": 10.77, "formation_energy_ev_per_atom": 0.008, "lattice_angstrom": [[-1.9128, 1.9128, 3.8191], [1.9128, -1.9128, 3.8191], [1.9128, 1.9128, -3.8191]], "species": ["Mn", "Cr", "Ni", "Au"], "fractional_positions": [[0.0000, 0.0000, 0.0000], [0.2500, 0.7500, 0.5000], [0.7500, 0.2500, 0.5000], [0.5000, 0.5000, 0.0000]]}

Entry 6:
{"formula": "BeCoRe2", "functional": "PBE-GGA", "state": "optimized geometry", "mass_density_g_cm3": 15.16, "formation_energy_ev_per_atom": -0.025, "lattice_angstrom": [[-1.4226, 2.0812, 4.0717], [1.4226, -2.0812, 4.0717], [1.4226, 2.0812, -4.0717]], "species": ["Be", "Co", "Re", "Re"], "fractional_positions": [[0.0000, 0.0000, 0.0000], [0.7920, 0.2920, 0.5000], [0.2441, 0.7441, 0.5000], [0.5250, 0.5250, 0.0000]]}